CoSnO2F | PBE+U | optimized geometry

POSCAR file:
```
CoSnO2F
1.0
-1.1961 3.3846 -1.4182
-0.3689 -1.5950 -3.4953
-3.8749 -1.0057 0.8679
Co Sn O F
1 1 2 1
Cartesian
0.0000 0.0000 0.0000
-2.7199 0.3919 -2.0228
-0.1844 -0.7975 -1.7477
-0.5981 1.6923 -0.7091
-1.9374 -0.5029 0.4339
```

Values from the calculation:
- DFT total energy (Ry/atom) = -0.38942